Entry 1:
Compound: Cs2PuMg3F12
Source: Alexandria
Functional: PBE-GGA
Structure: relaxed

Unit cell a=7.4910 b=7.4910 c=19.3782 alpha=90.00 beta=90.00 gamma=120.00
Space group R-3m (No. 166, hexagonal axes)
Symmetry-distinct sites (fractional):
Cs 0.0000 0.0000 0.0993 (multiplicity 6)
Pu 0.0000 0.0000 0.5000 (multiplicity 3)
Mg 0.0000 0.5000 0.0000 (multiplicity 9)
F 0.0495 0.5247 0.1082 (multiplicity 18)
F 0.0789 0.5394 0.3423 (multiplicity 18)

Computed properties:
Crystal system   trigonal



Entry 2:
Compound: Cs3PuMg2F9
Source: Alexandria
Functional: PBE-GGA
Structure: relaxed

Unit cell a=6.2444 b=6.2444 c=7.7364 alpha=90.00 beta=90.00 gamma=120.00
Space group P-3m1 (No. 164)
Symmetry-distinct sites (fractional):
Cs 0.0000 0.0000 0.0000 (multiplicity 1)
Cs 0.3333 0.6667 0.6717 (multiplicity 2)
Pu 0.0000 0.0000 0.5000 (multiplicity 1)
Mg 0.3333 0.6667 0.1500 (multiplicity 2)
F 0.0000 0.5000 0.0000 (multiplicity 3)
F 0.1816 0.3632 0.3076 (multiplicity 6)

Computed properties:
Crystal system   trigonal



Entry 3:
Compound: Cs2RbMg2F7
Source: Alexandria
Functional: PBE-GGA
Structure: relaxed

Unit cell a=4.190 b=4.190 c=23.358 alpha=90.00 beta=90.00 gamma=90.00
Space group I4/mmm (No. 139)
Symmetry-distinct sites (fractional):
Cs 0.000 0.000 0.184 (multiplicity 4)
Rb 0.000 0.000 0.000 (multiplicity 2)
Mg 0.000 0.000 0.413 (multiplicity 4)
F 0.000 0.000 0.326 (multiplicity 4)
F 0.000 0.000 0.500 (multiplicity 2)
F 0.000 0.500 0.088 (multiplicity 8)

Computed properties:
Crystal system   tetragonal



Entry 4:
Compound: Cs3Rb3MgF8
Source: Alexandria
Functional: PBE-GGA
Structure: relaxed

Unit cell a=7.9923 b=7.9923 c=20.1639 alpha=90.00 beta=90.00 gamma=120.00
Space group R-3m (No. 166, hexagonal axes)
Symmetry-distinct sites (fractional):
Cs 0.0000 0.5000 0.0000 (multiplicity 9)
Rb 0.0000 0.5000 0.5000 (multiplicity 9)
Mg 0.0000 0.0000 0.5000 (multiplicity 3)
F 0.0000 0.0000 0.2435 (multiplicity 6)
F 0.0847 0.5423 0.2257 (multiplicity 18)

Computed properties:
Crystal system   trigonal



no.,uncorrected formation energy (eV per atom)
1,-3.37
2,-3.09
3,-3.15
4,-2.82